1.
# BeVH (PBE-GGA, relaxed)
data_BeVH
_symmetry_space_group_name_H-M 'I m m a'
_symmetry_Int_Tables_number 74
_symmetry_space_group_name_Hall '-I 2b 2'
_cell_length_a 4.299
_cell_length_b 5.029
_cell_length_c 4.367
_cell_angle_alpha 90.00
_cell_angle_beta 90.00
_cell_angle_gamma 90.00
loop_
_atom_site_label
_atom_site_type_symbol
_atom_site_fract_x
_atom_site_fract_y
_atom_site_fract_z
Be1 Be 0.000 0.250 0.030
V1 V 0.000 0.000 0.500
H1 H 0.250 0.250 0.750
# * energy relative to the lowest polymorph listed for this composition: 244.9 meV per atom

=====

2.
# BeVH (PBE-GGA, relaxed)
data_BeVH
_symmetry_space_group_name_H-M 'P 1'
_symmetry_Int_Tables_number 1
_cell_length_a 2.519
_cell_length_b 4.325
_cell_length_c 4.701
_cell_angle_alpha 105.00
_cell_angle_beta 102.63
_cell_angle_gamma 90.93
loop_
_symmetry_equiv_pos_as_xyz
'x,y,z'
loop_
_atom_site_label
_atom_site_type_symbol
_atom_site_fract_x
_atom_site_fract_y
_atom_site_fract_z
Be1 Be 0.000 0.000 0.000
Be2 Be 0.317 0.698 0.630
V1 V 0.541 0.520 0.128
V2 V 0.780 0.157 0.504
H1 H 0.157 0.849 0.305
H2 H 0.375 0.390 0.729
# * energy relative to the lowest polymorph listed for this composition: 177.7 meV per atom

=====

3.
# BeVH (PBE-GGA, relaxed)
data_BeVH
_symmetry_space_group_name_H-M 'C m m m'
_symmetry_Int_Tables_number 65
_symmetry_space_group_name_Hall '-C 2 2'
_cell_length_a 5.652
_cell_length_b 6.706
_cell_length_c 2.485
_cell_angle_alpha 90.00
_cell_angle_beta 90.00
_cell_angle_gamma 90.00
loop_
_atom_site_label
_atom_site_type_symbol
_atom_site_fract_x
_atom_site_fract_y
_atom_site_fract_z
Be1 Be 0.191 0.000 0.000
V1 V 0.000 0.297 0.500
H1 H 0.250 0.250 0.000
# * energy relative to the lowest polymorph listed for this composition: 172.1 meV per atom

=====

4.
# BeVH (PBE-GGA, relaxed)
data_BeVH
_symmetry_space_group_name_H-M 'P 63/m m c'
_symmetry_Int_Tables_number 194
_symmetry_space_group_name_Hall '-P 6c 2c'
_cell_length_a 3.7065
_cell_length_b 3.7065
_cell_length_c 4.6391
_cell_angle_alpha 90.00
_cell_angle_beta 90.00
_cell_angle_gamma 120.00
loop_
_atom_site_label
_atom_site_type_symbol
_atom_site_fract_x
_atom_site_fract_y
_atom_site_fract_z
Be1 Be 0.3333 0.6667 0.2500
V1 V 0.3333 0.6667 0.7500
H1 H 0.0000 0.0000 0.2500
# * energy relative to the lowest polymorph listed for this composition: 969.7 meV per atom

=====

5.
# Be2VH4 (PBE-GGA, relaxed)
data_Be2VH4
_symmetry_space_group_name_H-M 'I 4/m m m'
_symmetry_Int_Tables_number 139
_symmetry_space_group_name_Hall '-I 4 2'
_cell_length_a 3.295
_cell_length_b 3.295
_cell_length_c 8.639
_cell_angle_alpha 90.00
_cell_angle_beta 90.00
_cell_angle_gamma 90.00
loop_
_atom_site_label
_atom_site_type_symbol
_atom_site_fract_x
_atom_site_fract_y
_atom_site_fract_z
Be1 Be 0.000 0.000 0.133
V1 V 0.000 0.000 0.500
H1 H 0.000 0.000 0.301
H2 H 0.000 0.500 0.000
# * uncorrected energy: -4.054 eV per atom

=====

6.
# BeV6H3 (PBE-GGA, relaxed)
data_BeV6H3
_symmetry_space_group_name_H-M 'P 1 21/m 1'
_symmetry_Int_Tables_number 11
_cell_length_a 8.357
_cell_length_b 2.968
_cell_length_c 8.733
_cell_angle_alpha 90.00
_cell_angle_beta 117.75
_cell_angle_gamma 90.00
loop_
_symmetry_equiv_pos_as_xyz
'x,y,z'
'-x,-y,-z'
'-x,y+1/2,-z'
'x,-y+1/2,z'
loop_
_atom_site_label
_atom_site_type_symbol
_atom_site_fract_x
_atom_site_fract_y
_atom_site_fract_z
Be1 Be 0.070 0.250 0.232
V1 V 0.039 0.750 0.412
V2 V 0.117 0.250 0.977
V3 V 0.246 0.750 0.788
V4 V 0.294 0.750 0.269
V5 V 0.358 0.250 0.545
V6 V 0.457 0.250 0.112
H1 H 0.194 0.250 0.633
H2 H 0.285 0.750 0.039
H3 H 0.457 0.250 0.365
# * uncorrected energy: -6.866 eV per atom

=====

7.
# BeVH (PBE-GGA, relaxed)
data_BeVH
_symmetry_space_group_name_H-M 'P 1'
_symmetry_Int_Tables_number 1
_cell_length_a 3.133
_cell_length_b 3.356
_cell_length_c 4.738
_cell_angle_alpha 90.14
_cell_angle_beta 109.27
_cell_angle_gamma 90.21
loop_
_symmetry_equiv_pos_as_xyz
'x,y,z'
loop_
_atom_site_label
_atom_site_type_symbol
_atom_site_fract_x
_atom_site_fract_y
_atom_site_fract_z
Be1 Be 0.000 0.000 0.000
Be2 Be 0.125 0.506 0.272
V1 V 0.396 0.512 0.818
V2 V 0.710 0.997 0.455
H1 H 0.695 0.238 0.129
H2 H 0.793 0.501 0.609
# * energy relative to the lowest polymorph listed for this composition: 104.3 meV per atom

=====

8.
# Be3VH (PBE-GGA, relaxed)
data_Be3VH
_symmetry_space_group_name_H-M 'P m -3 m'
_symmetry_Int_Tables_number 221
_symmetry_space_group_name_Hall '-P 4 2 3'
_cell_length_a 3.409
_cell_length_b 3.409
_cell_length_c 3.409
_cell_angle_alpha 90.00
_cell_angle_beta 90.00
_cell_angle_gamma 90.00
loop_
_atom_site_label
_atom_site_type_symbol
_atom_site_fract_x
_atom_site_fract_y
_atom_site_fract_z
Be1 Be 0.000 0.000 0.500
V1 V 0.500 0.500 0.500
H1 H 0.000 0.000 0.000
# * energy relative to the lowest polymorph listed for this composition: 0.0 meV per atom

=====

9.
# BeV8H6 (PBE-GGA, relaxed)
data_BeV8H6
_symmetry_space_group_name_H-M 'P -3'
_symmetry_Int_Tables_number 147
_cell_length_a 7.6078
_cell_length_b 7.6078
_cell_length_c 2.6123
_cell_angle_alpha 90.00
_cell_angle_beta 90.00
_cell_angle_gamma 120.00
loop_
_symmetry_equiv_pos_as_xyz
'x,y,z'
'-x,-y,-z'
'-y,x-y,z'
'y,-x+y,-z'
'-x+y,-x,z'
'x-y,x,-z'
loop_
_atom_site_label
_atom_site_type_symbol
_atom_site_fract_x
_atom_site_fract_y
_atom_site_fract_z
Be1 Be 0.0000 0.0000 0.0000
V1 V 0.0052 0.3195 0.3070
V2 V 0.3333 0.6667 0.9453
H1 H 0.1024 0.5972 0.2316
# * uncorrected energy: -6.550 eV per atom

=====

10.
# BeVH (PBE-GGA, relaxed)
data_BeVH
_symmetry_space_group_name_H-M 'P -1'
_symmetry_Int_Tables_number 2
_cell_length_a 2.530
_cell_length_b 4.276
_cell_length_c 4.406
_cell_angle_alpha 80.49
_cell_angle_beta 86.12
_cell_angle_gamma 88.92
loop_
_symmetry_equiv_pos_as_xyz
'x,y,z'
'-x,-y,-z'
loop_
_atom_site_label
_atom_site_type_symbol
_atom_site_fract_x
_atom_site_fract_y
_atom_site_fract_z
Be1 Be 0.001 0.200 0.304
V1 V 0.431 0.279 0.811
H1 H 0.000 0.500 0.500
H2 H 0.500 0.000 0.500
# * energy relative to the lowest polymorph listed for this composition: 239.2 meV per atom

=====

11.
# BeVH (PBE-GGA, relaxed)
data_BeVH
_symmetry_space_group_name_H-M 'P 63/m m c'
_symmetry_Int_Tables_number 194
_symmetry_space_group_name_Hall '-P 6c 2c'
_cell_length_a 2.5803
_cell_length_b 2.5803
_cell_length_c 9.8284
_cell_angle_alpha 90.00
_cell_angle_beta 90.00
_cell_angle_gamma 120.00
loop_
_atom_site_label
_atom_site_type_symbol
_atom_site_fract_x
_atom_site_fract_y
_atom_site_fract_z
Be1 Be 0.0000 0.0000 0.2500
V1 V 0.0000 0.0000 0.0000
H1 H 0.3333 0.6667 0.2500
# * energy relative to the lowest polymorph listed for this composition: 1058.3 meV per atom

=====

12.
# BeV4H (PBE-GGA, relaxed)
data_BeV4H
_symmetry_space_group_name_H-M 'P 1 21/c 1'
_symmetry_Int_Tables_number 14
_cell_length_a 5.413
_cell_length_b 2.638
_cell_length_c 10.064
_cell_angle_alpha 90.00
_cell_angle_beta 110.91
_cell_angle_gamma 90.00
loop_
_symmetry_equiv_pos_as_xyz
'x,y,z'
'-x,-y,-z'
'-x,y+1/2,-z+1/2'
'x,-y+1/2,z+1/2'
loop_
_atom_site_label
_atom_site_type_symbol
_atom_site_fract_x
_atom_site_fract_y
_atom_site_fract_z
Be1 Be 0.000 0.000 0.000
V1 V 0.212 0.236 0.356
V2 V 0.325 0.503 0.148
H1 H 0.500 0.000 0.500
# * uncorrected energy: -7.061 eV per atom

=====

13.
# BeVH (PBE-GGA, relaxed)
data_BeVH
_symmetry_space_group_name_H-M 'C 1 2/m 1'
_symmetry_Int_Tables_number 12
_cell_length_a 8.738
_cell_length_b 3.326
_cell_length_c 3.666
_cell_angle_alpha 90.00
_cell_angle_beta 114.68
_cell_angle_gamma 90.00
loop_
_symmetry_equiv_pos_as_xyz
'x,y,z'
'-x,-y,-z'
'-x,y,-z'
'x,-y,z'
'x+1/2,y+1/2,z'
'-x+1/2,-y+1/2,-z'
'-x+1/2,y+1/2,-z'
'x+1/2,-y+1/2,z'
loop_
_atom_site_label
_atom_site_type_symbol
_atom_site_fract_x
_atom_site_fract_y
_atom_site_fract_z
Be1 Be 0.128 0.000 0.381
V1 V 0.123 0.500 0.876
H1 H 0.101 0.500 0.353
# * energy relative to the lowest polymorph listed for this composition: 216.3 meV per atom

=====

14.
# BeVH (PBE-GGA, relaxed)
data_BeVH
_symmetry_space_group_name_H-M 'A m m 2'
_symmetry_Int_Tables_number 38
_cell_length_a 3.264
_cell_length_b 3.222
_cell_length_c 8.914
_cell_angle_alpha 90.00
_cell_angle_beta 90.00
_cell_angle_gamma 90.00
loop_
_symmetry_equiv_pos_as_xyz
'x,y,z'
'-x,-y,z'
'-x,y,z'
'x,-y,z'
'x,y+1/2,z+1/2'
'-x,-y+1/2,z+1/2'
'-x,y+1/2,z+1/2'
'x,-y+1/2,z+1/2'
loop_
_atom_site_label
_atom_site_type_symbol
_atom_site_fract_x
_atom_site_fract_y
_atom_site_fract_z
Be1 Be 0.000 0.000 0.000
Be2 Be 0.500 0.000 0.143
V1 V 0.000 0.000 0.731
V2 V 0.500 0.000 0.427
H1 H 0.000 0.000 0.169
H2 H 0.500 0.000 0.827
# * energy relative to the lowest polymorph listed for this composition: 117.0 meV per atom

=====

15.
# BeVH (PBE-GGA, relaxed)
data_BeVH
_symmetry_space_group_name_H-M 'P 1'
_symmetry_Int_Tables_number 1
_cell_length_a 3.173
_cell_length_b 3.380
_cell_length_c 4.704
_cell_angle_alpha 89.34
_cell_angle_beta 71.07
_cell_angle_gamma 89.80
loop_
_symmetry_equiv_pos_as_xyz
'x,y,z'
loop_
_atom_site_label
_atom_site_type_symbol
_atom_site_fract_x
_atom_site_fract_y
_atom_site_fract_z
Be1 Be 0.000 0.000 0.000
Be2 Be 0.112 0.514 0.740
V1 V 0.418 0.515 0.177
V2 V 0.704 0.019 0.579
H1 H 0.554 0.530 0.513
H2 H 0.897 0.279 0.238
# * energy relative to the lowest polymorph listed for this composition: 135.6 meV per atom

=====

16.
# BeVH3 (PBE-GGA, relaxed)
data_BeVH3
_symmetry_space_group_name_H-M 'P m -3 m'
_symmetry_Int_Tables_number 221
_symmetry_space_group_name_Hall '-P 4 2 3'
_cell_length_a 3.275
_cell_length_b 3.275
_cell_length_c 3.275
_cell_angle_alpha 90.00
_cell_angle_beta 90.00
_cell_angle_gamma 90.00
loop_
_atom_site_label
_atom_site_type_symbol
_atom_site_fract_x
_atom_site_fract_y
_atom_site_fract_z
Be1 Be 0.000 0.000 0.000
V1 V 0.500 0.500 0.500
H1 H 0.000 0.500 0.500
# * energy relative to the lowest polymorph listed for this composition: 373.1 meV per atom

=====

17.
# BeVH (PBE-GGA, relaxed)
data_BeVH
_symmetry_space_group_name_H-M 'C m c m'
_symmetry_Int_Tables_number 63
_symmetry_space_group_name_Hall '-C 2c 2'
_cell_length_a 3.144
_cell_length_b 8.795
_cell_length_c 3.317
_cell_angle_alpha 90.00
_cell_angle_beta 90.00
_cell_angle_gamma 90.00
loop_
_atom_site_label
_atom_site_type_symbol
_atom_site_fract_x
_atom_site_fract_y
_atom_site_fract_z
Be1 Be 0.000 0.066 0.250
V1 V 0.000 0.351 0.250
H1 H 0.000 0.261 0.750
# * energy relative to the lowest polymorph listed for this composition: 0.0 meV per atom

=====

18.
# BeVH (PBE-GGA, relaxed)
data_BeVH
_symmetry_space_group_name_H-M 'P 4/m m m'
_symmetry_Int_Tables_number 123
_symmetry_space_group_name_Hall '-P 4 2'
_cell_length_a 2.639
_cell_length_b 2.639
_cell_length_c 3.445
_cell_angle_alpha 90.00
_cell_angle_beta 90.00
_cell_angle_gamma 90.00
loop_
_atom_site_label
_atom_site_type_symbol
_atom_site_fract_x
_atom_site_fract_y
_atom_site_fract_z
Be1 Be 0.000 0.000 0.000
V1 V 0.500 0.500 0.500
H1 H 0.000 0.000 0.500
# * energy relative to the lowest polymorph listed for this composition: 219.6 meV per atom

=====

19.
# BeVH (PBE-GGA, relaxed)
data_BeVH
_symmetry_space_group_name_H-M 'P n m a'
_symmetry_Int_Tables_number 62
_cell_length_a 6.111
_cell_length_b 3.699
_cell_length_c 4.524
_cell_angle_alpha 90.00
_cell_angle_beta 90.00
_cell_angle_gamma 90.00
loop_
_symmetry_equiv_pos_as_xyz
'x,y,z'
'-x,-y,-z'
'-x+1/2,-y,z+1/2'
'x+1/2,y,-z+1/2'
'x+1/2,-y+1/2,-z+1/2'
'-x+1/2,y+1/2,z+1/2'
'-x,y+1/2,-z'
'x,-y+1/2,z'
loop_
_atom_site_label
_atom_site_type_symbol
_atom_site_fract_x
_atom_site_fract_y
_atom_site_fract_z
Be1 Be 0.000 0.000 0.000
V1 V 0.151 0.250 0.411
H1 H 0.151 0.750 0.554
# * energy relative to the lowest polymorph listed for this composition: 512.4 meV per atom

=====

20.
# Be2VH6 (PBE-GGA, relaxed)
data_Be2VH6
_symmetry_space_group_name_H-M 'F m -3 m'
_symmetry_Int_Tables_number 225
_symmetry_space_group_name_Hall '-F 4 2 3'
_cell_length_a 6.071
_cell_length_b 6.071
_cell_length_c 6.071
_cell_angle_alpha 90.00
_cell_angle_beta 90.00
_cell_angle_gamma 90.00
loop_
_atom_site_label
_atom_site_type_symbol
_atom_site_fract_x
_atom_site_fract_y
_atom_site_fract_z
Be1 Be 0.250 0.250 0.250
V1 V 0.000 0.000 0.000
H1 H 0.000 0.000 0.275
# * uncorrected energy: -3.614 eV per atom

=====

21.
# BeV2H2 (PBE-GGA, relaxed)
data_BeV2H2
_symmetry_space_group_name_H-M 'P 1 21/c 1'
_symmetry_Int_Tables_number 14
_cell_length_a 6.761
_cell_length_b 4.849
_cell_length_c 4.846
_cell_angle_alpha 90.00
_cell_angle_beta 90.48
_cell_angle_gamma 90.00
loop_
_symmetry_equiv_pos_as_xyz
'x,y,z'
'-x,-y,-z'
'-x,y+1/2,-z+1/2'
'x,-y+1/2,z+1/2'
loop_
_atom_site_label
_atom_site_type_symbol
_atom_site_fract_x
_atom_site_fract_y
_atom_site_fract_z
Be1 Be 0.229 0.000 0.250
V1 V 0.136 0.004 0.751
V2 V 0.497 0.250 0.003
H1 H 0.065 0.680 0.577
H2 H 0.402 0.502 0.248
# * uncorrected energy: -5.846 eV per atom

=====

22.
# BeVH (PBE-GGA, relaxed)
data_BeVH
_symmetry_space_group_name_H-M 'A m m 2'
_symmetry_Int_Tables_number 38
_cell_length_a 3.283
_cell_length_b 3.195
_cell_length_c 8.785
_cell_angle_alpha 90.00
_cell_angle_beta 90.00
_cell_angle_gamma 90.00
loop_
_symmetry_equiv_pos_as_xyz
'x,y,z'
'-x,-y,z'
'-x,y,z'
'x,-y,z'
'x,y+1/2,z+1/2'
'-x,-y+1/2,z+1/2'
'-x,y+1/2,z+1/2'
'x,-y+1/2,z+1/2'
loop_
_atom_site_label
_atom_site_type_symbol
_atom_site_fract_x
_atom_site_fract_y
_atom_site_fract_z
Be1 Be 0.000 0.000 0.000
Be2 Be 0.500 0.000 0.141
V1 V 0.000 0.000 0.725
V2 V 0.500 0.000 0.422
H1 H 0.000 0.000 0.332
H2 H 0.500 0.000 0.632
# * energy relative to the lowest polymorph listed for this composition: 47.7 meV per atom

=====

23.
# BeVH3 (PBE-GGA, relaxed)
data_BeVH3
_symmetry_space_group_name_H-M 'P m -3 m'
_symmetry_Int_Tables_number 221
_symmetry_space_group_name_Hall '-P 4 2 3'
_cell_length_a 3.058
_cell_length_b 3.058
_cell_length_c 3.058
_cell_angle_alpha 90.00
_cell_angle_beta 90.00
_cell_angle_gamma 90.00
loop_
_atom_site_label
_atom_site_type_symbol
_atom_site_fract_x
_atom_site_fract_y
_atom_site_fract_z
Be1 Be 0.000 0.000 0.000
V1 V 0.500 0.500 0.500
H1 H 0.000 0.000 0.500
# * energy relative to the lowest polymorph listed for this composition: 295.8 meV per atom

=====

24.
# BeVH (PBE-GGA, relaxed)
data_BeVH
_symmetry_space_group_name_H-M 'F -4 3 m'
_symmetry_Int_Tables_number 216
_symmetry_space_group_name_Hall 'F -4 2 3'
_cell_length_a 4.931
_cell_length_b 4.931
_cell_length_c 4.931
_cell_angle_alpha 90.00
_cell_angle_beta 90.00
_cell_angle_gamma 90.00
loop_
_atom_site_label
_atom_site_type_symbol
_atom_site_fract_x
_atom_site_fract_y
_atom_site_fract_z
Be1 Be 0.000 0.000 0.000
V1 V 0.250 0.250 0.250
H1 H 0.000 0.000 0.500
# * energy relative to the lowest polymorph listed for this composition: 1259.6 meV per atom

=====

25.
# BeVH (PBE-GGA, relaxed)
data_BeVH
_symmetry_space_group_name_H-M 'P 1 21 1'
_symmetry_Int_Tables_number 4
_cell_length_a 3.159
_cell_length_b 3.357
_cell_length_c 4.771
_cell_angle_alpha 90.00
_cell_angle_beta 109.24
_cell_angle_gamma 90.00
loop_
_symmetry_equiv_pos_as_xyz
'x,y,z'
'-x,y+1/2,-z'
loop_
_atom_site_label
_atom_site_type_symbol
_atom_site_fract_x
_atom_site_fract_y
_atom_site_fract_z
Be1 Be 0.070 0.000 0.143
V1 V 0.338 0.001 0.669
H1 H 0.347 0.750 0.999
# * energy relative to the lowest polymorph listed for this composition: 207.5 meV per atom